Record 1
Fe2OsRh: single point on PBEsol structure, SCAN.

Properties
As for the space group: Cm (8). Its crystal system is monoclinic. The distance to the lowest polymorph of the same formula comes out at 48 meV/atom. The calculation puts the spin magnetization at 1.264 μB per atom. As for the formation energy: 62 meV/atom.

a = 8.5999 Å, b = 2.6168 Å, c = 4.4274 Å
α = 90.00°, β = 100.72°, γ = 90.00°
Sites, in units of the cell vectors:
Fe 0.0000 0.0000 0.0000
Fe 0.2442 0.5000 0.2455
Fe 0.5000 0.5000 0.0000
Fe 0.7442 0.0000 0.2455
Os 0.2503 0.0000 0.7629
Os 0.7503 0.5000 0.7629
Rh 0.4964 0.0000 0.4943
Rh 0.9964 0.5000 0.4943

***

Record 2
YGeRu: single point on PBEsol structure, SCAN.

Properties
As for the space group: I4/mmm (139). Its crystal system is tetragonal. The calculation puts the spin magnetization at 0.000 μB per atom. As for the formation energy: -867 meV/atom.

a = 4.1504 Å, b = 4.1504 Å, c = 13.3967 Å
α = 90.00°, β = 90.00°, γ = 90.00°
Sites, in units of the cell vectors:
Y 0.0000 0.0000 0.1490
Y 0.0000 0.0000 0.8510
Y 0.5000 0.5000 0.3510
Y 0.5000 0.5000 0.6490
Ge 0.0000 0.0000 0.3874
Ge 0.0000 0.0000 0.6126
Ge 0.5000 0.5000 0.1126
Ge 0.5000 0.5000 0.8874
Ru 0.0000 0.5000 0.0000
Ru 0.0000 0.5000 0.5000
Ru 0.5000 0.0000 0.0000
Ru 0.5000 0.0000 0.5000

***

Record 3
ScTl: single point on PBEsol structure, SCAN.

Properties
As for the space group: I4_1/amd (141). Its crystal system is tetragonal. The calculation puts the spin magnetization at 0.000 μB per atom. As for the formation energy: -403 meV/atom.

a = 4.2182 Å, b = 4.2182 Å, c = 10.2198 Å
α = 90.00°, β = 90.00°, γ = 90.00°
Sites, in units of the cell vectors:
Sc 0.0000 0.2500 0.3750
Sc 0.0000 0.7500 0.6250
Sc 0.5000 0.2500 0.1250
Sc 0.5000 0.7500 0.8750
Tl 0.0000 0.2500 0.8750
Tl 0.0000 0.7500 0.1250
Tl 0.5000 0.2500 0.6250
Tl 0.5000 0.7500 0.3750